GGA-PBE MgScRu2, relaxed; calculated total energy = -6.6600 eV/atom; symmetry = No. 25; DOS(E_F) = 4.74 states/eV per cell; ΔE_f = -0.041 eV per atom
1.0
2.950 0.000 0.000
0.000 3.986 0.000
0.000 0.000 5.627
Mg Sc Ru
1 1 2
Cartesian
0.000 0.000 0.000
1.475 1.993 3.945
0.000 0.000 2.618
1.475 1.993 1.382

---

GGA-PBE Mg2ScRu, relaxed; calculated total energy = -4.9023 eV/atom; symmetry = No. 71; DOS(E_F) = 1.39 states/eV per cell; ΔE_f = -0.203 eV per atom
1.0
-1.686 2.246 4.906
1.686 -2.246 4.906
1.686 2.246 -4.906
Mg Sc Ru
2 1 1
Cartesian
0.000 0.000 2.171
0.000 0.000 7.642
0.000 2.246 0.000
1.686 0.000 0.000